Entry from the Alexandria database: a geometry-optimized La6SbIr3 structure (PBE).

Geometry as CIF:
```
data_La6SbIr3
_chemical_formula_sum 'La12 Sb2 Ir6'
_symmetry_space_group_name_H-M 'P 1 21/m 1'
_symmetry_Int_Tables_number 11
_cell_length_a 12.034
_cell_length_b 4.319
_cell_length_c 12.378
_cell_angle_alpha 90.00
_cell_angle_beta 107.53
_cell_angle_gamma 90.00
loop_
_symmetry_equiv_pos_as_xyz
'x,y,z'
'-x,-y,-z'
'-x,y+1/2,-z'
'x,-y+1/2,z'
loop_
_atom_site_label
_atom_site_type_symbol
_atom_site_fract_x
_atom_site_fract_y
_atom_site_fract_z
La1 La 0.030 0.250 0.393
La2 La 0.107 0.250 0.946
La3 La 0.211 0.750 0.262
La4 La 0.287 0.750 0.766
La5 La 0.359 0.250 0.540
La6 La 0.420 0.750 0.088
Sb1 Sb 0.446 0.250 0.309
Ir1 Ir 0.045 0.250 0.165
Ir2 Ir 0.183 0.750 0.497
Ir3 Ir 0.344 0.250 0.918
```

Computed properties:
Formation energy (no corrections): -795 meV per atom
Size of the total moment: 0.00 μB per atom